An optimized crystal structure of NaDyCuTe3. Source: OQMD, functional GGA-PBE.

abc: 8.764 4.183 10.198
angles: 90.00 106.86 90.00
Atoms (fractional coordinates):
Cu 0.419 0.750 0.408
Cu 0.581 0.250 0.592
Dy 0.177 0.250 0.157
Dy 0.823 0.750 0.843
Na 0.710 0.250 0.270
Na 0.290 0.750 0.730
Te 0.424 0.750 0.150
Te 0.922 0.750 0.158
Te 0.269 0.250 0.473
Te 0.731 0.750 0.527
Te 0.078 0.250 0.842
Te 0.576 0.250 0.850

Calculated values
As for the space group: P2_1/m, No. 11. The value obtained for the total DFT energy (no corrections) is -4.0151 eV per atom.